# 1
Computed, not measured: a relaxed structure of InGeBiO6 at the PBE level of DFT.

Cell: 5.282 5.282 9.294 Å, 90.00 90.00 120.00°
Atoms (fractional coordinates):
1 O 0.662 0.632 0.132
2 O 0.632 0.662 0.632
3 In 0.000 0.000 0.500
4 O 0.368 0.030 0.132
5 O 0.030 0.368 0.632
6 O 0.662 0.030 0.368
7 O 0.030 0.662 0.868
8 Bi 0.333 0.667 0.250
9 O 0.970 0.338 0.132
10 O 0.632 0.970 0.868
11 Bi 0.667 0.333 0.750
12 O 0.338 0.970 0.632
13 O 0.338 0.368 0.868
14 Ge 0.667 0.333 0.250
15 Ge 0.333 0.667 0.750
16 O 0.970 0.632 0.368
17 O 0.368 0.338 0.368
18 In 0.000 0.000 0.000

N(E_F): 15.37 states/eV per cell
Uncorrected formation energy: -11.16 eV per formula unit
Magnetic moment: 0.00 μB per atom

---

# 2
Computed, not measured: a relaxed structure of InGeBiO2 at the PBE level of DFT.

Cell: 4.209 5.417 4.209 Å, 90.00 90.00 90.00°
Atoms (fractional coordinates):
1 Ge 0.000 0.500 0.000
2 O 0.500 0.000 0.000
3 Bi 0.500 0.500 0.500
4 O 0.000 0.000 0.500
5 In 0.000 0.000 0.000

N(E_F): 3.69 states/eV per cell
Relative energy among the computed polymorphs: 119 meV per atom
Uncorrected formation energy: -0.55 eV per formula unit
Magnetic moment: 0.00 μB per atom

---

# 3
Computed, not measured: a relaxed structure of InGeBiO2 at the PBE level of DFT.

Cell: 4.064 5.668 4.064 Å, 90.00 90.00 90.00°
Atoms (fractional coordinates):
1 In 0.500 0.500 0.500
2 O 0.000 0.000 0.500
3 Bi 0.000 0.500 0.000
4 Ge 0.000 0.000 0.000
5 O 0.500 0.000 0.000

N(E_F): 2.00 states/eV per cell
Relative energy among the computed polymorphs: 0 meV per atom
Uncorrected formation energy: -1.14 eV per formula unit
Magnetic moment: 0.00 μB per atom

---

> What is the uncorrected formation energy in the first record?

-11.16 eV per formula unit